## HAuCl3 (PBE-GGA)

Data for a geometry-optimized HAuCl3 structure.

Computed properties:
Electronic total energy: -8.70 eV per formula unit
V: 88 Å³/f.u.
Distance to the lowest polymorph of the same formula: 903 meV/atom
Total magnetic moment: 1.02 μB/cell

a = 4.4463 Å, b = 4.4463 Å, c = 4.4463 Å
α = 90.00°, β = 90.00°, γ = 90.00°
Atoms (fractional coordinates):
H: 0.0000 0.0000 0.0000
Au: 0.5000 0.5000 0.5000
Cl: 0.0000 0.0000 0.5000
Cl: 0.0000 0.5000 0.0000
Cl: 0.5000 0.0000 0.0000

## HAuCl3 (PBE-GGA)

Data for a geometry-optimized HAuCl3 structure.

Computed properties:
Electronic total energy: -13.22 eV per formula unit
V: 167 Å³/f.u.
Distance to the lowest polymorph of the same formula: 0 meV/atom
Total magnetic moment: 0.00 μB/cell

a = 5.6035 Å, b = 5.9688 Å, c = 10.2225 Å
α = 92.15°, β = 102.12°, γ = 90.69°
Atoms (fractional coordinates):
H: 0.0000 0.0000 0.0000
H: 0.2819 0.8736 0.6175
Au: 0.1817 0.5270 0.7204
Au: 0.8040 0.2393 0.2725
Cl: 0.1308 0.0513 0.9127
Cl: 0.3231 0.0185 0.5322
Cl: 0.5826 0.5221 0.8240
Cl: 0.7804 0.5313 0.6107
Cl: 0.7844 0.9140 0.1496
Cl: 0.8213 0.5771 0.3812

## HgHAu2Cl (PBE-GGA)

Data for a geometry-optimized HgHAu2Cl structure.

Computed properties:
Electronic total energy: -11.38 eV per formula unit
V: 105 Å³/f.u.
Total magnetic moment: 0.00 μB/cell

a = 3.9312 Å, b = 3.9312 Å, c = 6.7670 Å
α = 90.00°, β = 90.00°, γ = 90.00°
Atoms (fractional coordinates):
Hg: 0.0000 0.0000 0.0000
H: 0.0000 0.0000 0.5000
Au: 0.0000 0.5000 0.5000
Au: 0.5000 0.0000 0.5000
Cl: 0.5000 0.5000 0.0000

## HRh2AuICl (PBE-GGA)

Data for a geometry-optimized HRh2AuICl structure.

Computed properties:
Electronic total energy: -23.92 eV per formula unit
V: 118 Å³/f.u.
Distance to the lowest polymorph of the same formula: 40 meV/atom
Total magnetic moment: 0.00 μB/cell

a = 6.3271 Å, b = 6.3271 Å, c = 3.8008 Å
α = 90.24°, β = 90.24°, γ = 50.60°
Atoms (fractional coordinates):
H: 0.0000 0.0000 0.0000
Rh: 0.4963 0.4963 0.4956
Rh: 0.8494 0.8494 0.9983
Au: 0.0191 0.0191 0.5003
I: 0.3428 0.3428 0.9933
Cl: 0.6354 0.6354 0.9979

## HRh2AuICl (PBE-GGA)

Data for a geometry-optimized HRh2AuICl structure.

Computed properties:
Electronic total energy: -24.12 eV per formula unit
V: 121 Å³/f.u.
Distance to the lowest polymorph of the same formula: 6 meV/atom
Total magnetic moment: 0.00 μB/cell

a = 5.4249 Å, b = 3.6717 Å, c = 6.0576 Å
α = 90.00°, β = 91.93°, γ = 90.00°
Atoms (fractional coordinates):
H: 0.0000 0.0000 0.0000
Rh: 0.2904 0.0000 0.8579
Rh: 0.7756 0.0000 0.7960
Au: 0.5777 0.5000 0.0803
I: 0.0638 0.5000 0.6331
Cl: 0.5596 0.0000 0.4001

## HRh2AuICl (PBE-GGA)

Data for a geometry-optimized HRh2AuICl structure.

Computed properties:
Electronic total energy: -23.72 eV per formula unit
V: 116 Å³/f.u.
Distance to the lowest polymorph of the same formula: 73 meV/atom
Total magnetic moment: 0.00 μB/cell

a = 6.2581 Å, b = 6.2581 Å, c = 6.8915 Å
α = 120.82°, β = 120.82°, γ = 30.61°
Atoms (fractional coordinates):
H: 0.0000 0.0000 0.0000
Rh: 0.4639 0.4639 0.5510
Rh: 0.5860 0.5860 0.0336
Au: 0.9919 0.9919 0.2492
I: 0.1531 0.1531 0.8087
Cl: 0.7880 0.7880 0.4320

## HRh2AuICl (PBE-GGA)

Data for a geometry-optimized HRh2AuICl structure.

Computed properties:
Electronic total energy: -23.81 eV per formula unit
V: 106 Å³/f.u.
Distance to the lowest polymorph of the same formula: 58 meV/atom
Total magnetic moment: 0.00 μB/cell

a = 6.9387 Å, b = 6.9387 Å, c = 4.3401 Å
α = 91.37°, β = 91.37°, γ = 30.45°
Atoms (fractional coordinates):
H: 0.0000 0.0000 0.0000
Rh: 0.1281 0.1281 0.0641
Rh: 0.4769 0.4769 0.8580
Au: 0.8937 0.8937 0.4963
I: 0.6368 0.6368 0.5524
Cl: 0.3149 0.3149 0.1249

## HRh2AuICl (PBE-GGA)

Data for a geometry-optimized HRh2AuICl structure.

Computed properties:
Electronic total energy: -23.88 eV per formula unit
V: 112 Å³/f.u.
Distance to the lowest polymorph of the same formula: 46 meV/atom
Total magnetic moment: 0.00 μB/cell

a = 3.7017 Å, b = 5.6645 Å, c = 5.6788 Å
α = 110.26°, β = 90.63°, γ = 90.10°
Atoms (fractional coordinates):
H: 0.0000 0.0000 0.0000
Rh: 0.0035 0.8123 0.2084
Rh: 0.0043 0.3267 0.2579
Au: 0.0044 0.7587 0.6828
I: 0.5081 0.1325 0.4541
Cl: 0.4991 0.4842 0.0405